Entry 1:
Density functional theory data (PBE-GGA) for an optimized crystal structure of LaPmB12.

```
14
Lattice="0.2155 -5.8152 -0.6544 4.9575 -2.5655 -1.7700 3.1112 -3.2545 3.7443" Properties=species:S:1:pos:R:3 pbc="T T T"
La 0.0000 0.0000 0.0000
Pm 4.1421 -5.8176 0.6600
B 6.5228 -9.4964 0.0634
B 2.3807 -3.6788 -0.5966
B 6.4581 -7.7494 0.2600
B 2.3160 -1.9318 -0.4000
B 5.0335 -8.7257 0.5951
B 0.8914 -2.9081 -0.0649
B 5.9682 -9.7034 1.7200
B 1.8261 -3.8858 1.0600
B 7.3928 -8.7271 1.3848
B 3.2507 -2.9095 0.7249
B 5.9034 -7.9564 1.9166
B 1.7613 -2.1388 1.2566
```


Entry 2:
Density functional theory data (PBE-GGA) for an optimized crystal structure of LaPmB.

```
6
Lattice="5.4564 -1.1708 -0.3267 1.3627 3.7918 0.5544 -0.4035 1.3740 7.0520" Properties=species:S:1:pos:R:3 pbc="T T T"
B 5.9774 3.4221 5.4401
B 3.7911 1.0499 4.7240
La 4.4381 3.2694 3.1309
La 3.1331 3.4641 6.5695
Pm 5.7363 -0.1842 -0.0731
Pm 1.1733 2.1844 3.9626
```


Entry 3:
Density functional theory data (PBE-GGA) for an optimized crystal structure of La2PmB3Pt12.

```
18
Lattice="-2.3759 -2.8747 -6.5713 4.3559 -5.4169 -2.9621 -2.8192 -7.0027 0.3257" Properties=species:S:1:pos:R:3 pbc="T T T"
La -0.5006 -9.1254 -5.4938
La -0.3384 -6.1689 -3.7139
Pm 0.0000 0.0000 0.0000
B -1.1879 -1.4373 -3.2857
B 2.1780 -2.7084 -1.4811
B -1.4096 -3.5013 0.1629
Pt -1.9396 -9.0026 -2.7234
Pt 0.5213 -10.0550 -8.0548
Pt 0.3260 -11.8740 -5.0155
Pt -1.6765 -6.5516 -6.8184
Pt -2.6404 -10.7537 -6.6060
Pt 2.3205 -8.0611 -4.6755
Pt 1.1006 -6.2917 -6.4844
Pt -1.3604 -5.2393 -1.1530
Pt -1.1651 -3.4203 -4.1922
Pt 0.8374 -8.7426 -2.3893
Pt 1.8013 -4.5405 -2.6018
Pt -3.1596 -7.2332 -4.5322
```


Entry 4:
Density functional theory data (PBE-GGA) for an optimized crystal structure of LaB2Pt8.

```
11
Lattice="5.3085 0.0000 0.0000 0.0000 5.3085 0.0000 0.0000 0.0000 7.5668" Properties=species:S:1:pos:R:3 pbc="T T T"
La 2.6543 2.6543 3.7834
B 2.6543 0.0000 0.0000
B 0.0000 2.6543 0.0000
Pt 3.9925 3.9925 1.3916
Pt 3.9925 1.3160 6.1752
Pt 3.9925 3.9925 6.1752
Pt 3.9925 1.3160 1.3916
Pt 1.3160 3.9925 1.3916
Pt 1.3160 3.9925 6.1752
Pt 1.3160 1.3160 1.3916
Pt 1.3160 1.3160 6.1752
```


Entry 5:
Density functional theory data (PBE-GGA) for an optimized crystal structure of La2BPt6.

```
9
Lattice="5.8058 0.0000 0.0000 -2.9029 4.9094 1.0805 0.0000 0.1708 5.7696" Properties=species:S:1:pos:R:3 pbc="T T T"
La 2.9029 1.3539 1.3656
La 0.0000 3.7263 5.4845
B 0.0000 0.0000 0.0000
Pt 4.3602 1.4098 4.3958
Pt 2.9029 3.8763 5.0115
Pt 1.4456 1.4098 4.3958
Pt -1.4573 3.6704 2.4543
Pt 0.0000 1.2039 1.8386
Pt 1.4573 3.6704 2.4543
```


Entry 6:
Density functional theory data (PBE-GGA) for an optimized crystal structure of LaB5Pt7.

```
13
Lattice="3.6289 0.0000 0.0000 1.8145 7.2020 0.8934 1.8145 0.8701 7.2048" Properties=species:S:1:pos:R:3 pbc="T T T"
La 3.6289 0.2533 0.2541
B 4.4986 7.4077 4.1465
B 2.7593 7.4077 4.1465
B 4.4986 4.1226 7.4211
B 2.7593 4.1226 7.4211
B 5.4434 6.6635 6.6851
Pt 3.6289 3.5518 3.5633
Pt 3.6289 5.7975 5.8163
Pt 5.4434 3.4391 5.6139
Pt 5.4434 5.6028 3.4572
Pt 1.8145 1.9384 1.9447
Pt 3.6289 4.8651 1.3482
Pt 3.6289 1.3325 4.8694
```


Entry 7:
Density functional theory data (PBE-GGA) for an optimized crystal structure of LaB3Pt6.

```
10
Lattice="-0.3081 2.4673 -5.0970 3.8904 -4.0591 0.9151 -5.2225 -3.5013 1.7540" Properties=species:S:1:pos:R:3 pbc="T T T"
La -1.0544 -4.4773 -2.1470
B -4.0788 -3.1476 -1.4151
B 2.4520 -1.9218 -1.1151
B -1.2080 -1.3709 -0.5382
Pt -2.4921 -3.2413 0.1383
Pt 1.5659 -3.3767 0.2048
Pt -0.9947 0.6241 -3.5368
Pt -0.5421 -5.2636 0.5730
Pt -2.3564 -1.8062 -2.2986
Pt 0.5072 -1.4839 -2.0051
```


Entry 8:
Density functional theory data (PBE-GGA) for an optimized crystal structure of LaB2Pt.

```
8
Lattice="4.4500 0.0000 0.0000 0.0000 4.4500 0.0000 2.2250 2.2250 6.9867" Properties=species:S:1:pos:R:3 pbc="T T T"
B 4.4495 1.1125 1.7467
B 4.4506 3.3375 1.7467
B 3.3375 2.2256 5.2401
B 5.5626 2.2244 5.2401
Pt 0.0000 0.0000 0.0000
Pt 4.4500 2.2250 3.4934
La 2.2250 2.2250 0.0000
La 2.2250 4.4500 3.4934
```

Values from the calculation:
- distance to the lowest polymorph of the same formula (kJ/mol of formula units) = 0.0


Entry 9:
Density functional theory data (PBE-GGA) for an optimized crystal structure of LaB3Pt.

```
5
Lattice="-0.0008 -0.2759 -4.2052 1.2857 -4.0048 0.2625 -4.0134 -1.2829 0.0850" Properties=species:S:1:pos:R:3 pbc="T T T"
B 0.6428 -2.0024 0.1313
B -2.0067 -0.6414 0.0425
B -0.0004 -0.1380 -2.1026
Pt 0.0000 0.0000 0.0000
La -1.3643 -2.7818 -1.9289
```

Values from the calculation:
- distance to the lowest polymorph of the same formula (kJ/mol of formula units) = 0.0


Entry 10:
Density functional theory data (PBE-GGA) for an optimized crystal structure of LaBPt.

```
12
Lattice="-3.0881 -2.2434 4.6983 5.2060 -1.2581 2.8210 -0.0690 5.4797 2.5712" Properties=species:S:1:pos:R:3 pbc="T T T"
Pt 2.3698 -0.7204 3.8702
Pt 1.2356 2.8271 3.4051
Pt -1.2300 0.1867 4.4233
Pt 1.7224 1.6628 8.4823
B 0.8498 0.8205 4.1853
B 2.7204 4.0852 4.4034
B -2.4216 1.0474 6.0430
B 2.9492 -1.9968 5.5492
La 0.2809 0.2712 1.3833
La -0.1376 2.8426 6.2357
La 3.3276 1.5913 5.7774
La 0.6269 -0.7488 6.7845
```


Entry 11:
Density functional theory data (PBE-GGA) for an optimized crystal structure of LaBPt2.

```
12
Lattice="5.5699 0.0000 0.0000 -2.7850 4.8236 0.0000 0.0000 0.0000 8.0105" Properties=species:S:1:pos:R:3 pbc="T T T"
B -1.3925 2.4118 4.0054
B 2.7849 0.0000 1.3351
B 1.3925 2.4118 6.6754
Pt 1.4998 4.0816 0.0000
Pt 2.7849 3.3397 5.3403
Pt -1.4997 4.0816 2.6702
Pt 0.0000 1.4839 5.3403
Pt 4.2847 0.7420 2.6702
Pt 1.2852 0.7420 0.0000
La 2.7849 0.0000 5.3403
La -1.3925 2.4118 8.0105
La 1.3925 2.4118 2.6702
```


Entry 12:
Density functional theory data (PBE-GGA) for an optimized crystal structure of LaB2Pt.

```
4
Lattice="0.5142 -1.9967 3.8710 -3.3129 -0.1013 2.8724 -2.0815 -3.7736 0.8147" Properties=species:S:1:pos:R:3 pbc="T T T"
B -1.2201 -1.4679 1.8895
B -3.6602 -4.4037 5.6686
Pt -2.4401 -2.9358 3.7791
La 0.0000 0.0000 0.0000
```

Values from the calculation:
- distance to the lowest polymorph of the same formula (kJ/mol of formula units) = 249.4


Entry 13:
Density functional theory data (PBE-GGA) for an optimized crystal structure of LaBPt2.

```
8
Lattice="-4.6791 1.6682 -0.8749 -1.6484 -4.7600 -0.2603 -4.3763 -1.4868 6.0301" Properties=species:S:1:pos:R:3 pbc="T T T"
B -3.1637 -1.5459 -0.5676
B -4.5942 -3.8963 2.6011
Pt -3.4148 -0.2127 1.0796
Pt -3.5189 -2.8495 1.0841
Pt -5.9403 -3.0982 4.0519
Pt -8.5335 -2.9967 3.5744
La 0.0000 0.0000 0.0000
La -6.1095 -0.6822 2.2938
```


Entry 14:
Density functional theory data (PBE-GGA) for an optimized crystal structure of La2BPt5.

```
8
Lattice="-0.8885 -5.2089 2.4142 3.4700 -2.4336 -3.9734 2.4482 4.5029 3.6269" Properties=species:S:1:pos:R:3 pbc="T T T"
La 3.7569 -0.8482 -0.4468
La 1.5778 -2.2358 2.7469
B 4.6345 -3.2116 1.7669
Pt 0.3346 -4.4879 0.9047
Pt 0.7761 -1.8986 -0.2954
Pt 2.0594 -5.6975 -1.0703
Pt 2.5010 -3.1083 -2.2704
Pt 2.9441 -3.5198 0.4796
```


Entry 15:
Density functional theory data (PBE-GGA) for an optimized crystal structure of LaB3Pt.

```
5
Lattice="4.5446 0.0000 0.0000 0.0000 4.5446 0.0000 0.0000 0.0000 4.5446" Properties=species:S:1:pos:R:3 pbc="T T T"
B 0.0000 2.2723 0.0000
B 0.0000 0.0000 2.2723
B 2.2723 0.0000 0.0000
Pt 2.2723 2.2723 2.2723
La 0.0000 0.0000 0.0000
```

Values from the calculation:
- distance to the lowest polymorph of the same formula (kJ/mol of formula units) = 1026.3


Entry 16:
Density functional theory data (PBE-GGA) for an optimized crystal structure of LaBPt2.

```
4
Lattice="-1.1081 3.0756 1.0642 -1.1303 0.3994 3.2222 6.3831 2.9380 3.7091" Properties=species:S:1:pos:R:3 pbc="T T T"
B 2.0723 3.2065 3.9978
Pt 3.7362 2.2772 2.8625
Pt 0.4085 4.1357 5.1331
La 0.0000 0.0000 0.0000
```


Entry 17:
Density functional theory data (PBE-GGA) for an optimized crystal structure of LaBPt2Rh.

```
5
Lattice="4.4131 0.0000 0.0000 0.0000 4.4131 0.0000 0.0000 0.0000 4.3055" Properties=species:S:1:pos:R:3 pbc="T T T"
B 0.0000 0.0000 0.0000
Rh 0.0000 0.0000 2.1527
Pt 0.0000 2.2065 0.0000
Pt 2.2065 0.0000 0.0000
La 2.2065 2.2065 2.1527
```


Entry 18:
Density functional theory data (PBE-GGA) for an optimized crystal structure of La2BPt6Rh.

```
10
Lattice="-3.7524 -2.4763 3.4518 -4.6512 -1.1057 -5.8499 -1.2934 -5.4758 -0.6805" Properties=species:S:1:pos:R:3 pbc="T T T"
La -4.0209 -5.0756 1.2954
La -5.6762 -3.9822 -4.3739
B -4.2018 -1.7910 -1.1990
Pt -3.0893 -3.5756 -1.2697
Pt -5.9884 -2.8674 -1.4836
Pt -4.0292 -1.5744 -3.2859
Pt -5.6679 -7.4834 0.2074
Pt -3.7086 -6.1904 -1.5950
Pt -6.6077 -5.4822 -1.8089
Rh 0.0000 0.0000 0.0000
```


Entry 19:
Density functional theory data (PBE-GGA) for an optimized crystal structure of LaBPtRh2.

```
5
Lattice="-2.0618 -3.4495 -1.6462 3.6566 -1.2354 -1.9908 1.0980 -2.2999 3.4440" Properties=species:S:1:pos:R:3 pbc="T T T"
B 0.0000 0.0000 0.0000
Rh 1.8283 -0.6177 -0.9954
Rh -1.0309 -1.7247 -0.8231
Pt 0.5490 -1.1499 1.7220
La 1.3464 -3.4924 -0.0965
```


Entry 20:
Density functional theory data (PBE-GGA) for an optimized crystal structure of La2ScBPt.

```
5
Lattice="5.6217 0.0000 0.0000 0.0000 4.6649 0.0000 0.0000 0.0000 5.6217" Properties=species:S:1:pos:R:3 pbc="T T T"
Sc 0.0000 0.0000 0.0000
B 2.8109 2.3324 2.8109
Pt 0.0000 2.3324 0.0000
La 0.0000 0.0000 2.8109
La 2.8109 0.0000 0.0000
```


We obtain energy of formation from the pure elements values of -0.516; -0.013; -0.459; -0.075; -0.809; -0.167; -0.462; -0.309; 0.486; -0.742; -0.940; 0.337; -0.604; -0.935; 2.613; -0.074; -0.727; -0.776; -0.768; 0.995 eV per atom for the records listed above, in that order.
We obtain V values of 142.0; 152.1; 334.3; 213.2; 163.4; 185.5; 150.1; 138.4; 74.8; 221.8; 215.2; 59.7; 170.7; 160.3; 93.9; 78.8; 83.8; 189.5; 80.8; 147.4 Å³ per cell for the records listed above, in that order.